TaCo2Cl, relaxed, DFT GGA-PBE; energy above the most stable polymorph in this dataset = 548 meV/atom; space-group type = F-43m (216); formation energy without anion corrections = 2.23 eV per formula unit; crystal system = cubic
1.0
-3.562 -1.007 2.106
-3.256 -1.807 -2.066
-0.970 -4.085 0.713
Cl Ta Co
1 1 2
direct
0.500 0.500 0.500
0.250 0.250 0.250
0.750 0.750 0.750
0.000 0.000 0.000

TaCoCl2, relaxed, DFT GGA-PBE; energy above the most stable polymorph in this dataset = 565 meV/atom; space-group type = R-3m (166); formation energy without anion corrections = 0.19 eV per formula unit; crystal system = trigonal
1.0
7.287 2.831 2.580
7.073 0.225 4.207
8.126 0.152 1.314
Cl Co Ta
2 1 1
direct
0.090 0.090 0.090
0.910 0.910 0.910
0.000 0.000 0.000
0.500 0.500 0.500

TaCoCl2, relaxed, DFT GGA-PBE; energy above the most stable polymorph in this dataset = 690 meV/atom; space-group type = Imm2 (44); formation energy without anion corrections = 0.69 eV per formula unit; crystal system = orthorhombic
1.0
5.806 -0.065 0.044
0.950 5.728 -0.044
-1.847 -4.658 2.934
Cl Co Ta
2 1 1
direct
0.062 0.062 0.000
0.677 0.177 0.500
0.471 0.471 0.000
0.290 0.790 0.500

Number 1: calculated total energy -6.42 eV/atom. Number 2: calculated total energy -5.62 eV/atom. Number 3: calculated total energy -5.49 eV/atom.